DFT (GGA-PBE) results for a relaxed Tb2Pr3Sm7 crystal.

Properties
spin magnetization: 0.00 μB/atom
energy of formation: 0.084 eV per atom
crystal system: monoclinic
VASP energy: -55.6 eV per formula unit
symmetry: P2/m, No. 10
E above lowest polymorph: 0.007 eV/atom

Unit cell a=5.951 b=3.629 c=19.167 alpha=90.00 beta=93.03 gamma=90.00
Atoms (fractional coordinates):
Tb  0.210  0.000  0.294
Tb  0.790  0.000  0.706
Pr  0.000  0.000  0.000
Pr  0.281  0.500  0.634
Pr  0.719  0.500  0.366
Sm  0.188  0.500  0.145
Sm  0.243  0.000  0.464
Sm  0.310  0.000  0.822
Sm  0.500  0.500  0.000
Sm  0.690  0.000  0.178
Sm  0.757  0.000  0.536
Sm  0.812  0.500  0.855

DFT (GGA-PBE) results for a relaxed Tb7Pr5Sm crystal.

Properties
spin magnetization: 0.00 μB/atom
energy of formation: 0.242 eV per atom
crystal system: orthorhombic
VASP energy: -57.9 eV per formula unit
symmetry: Imm2, No. 44

Unit cell a=8.824 b=8.824 c=8.824 alpha=134.42 beta=101.00 gamma=96.27
Atoms (fractional coordinates):
Tb  0.000  0.000  0.000
Tb  0.227  0.559  0.668
Tb  0.300  0.300  0.000
Tb  0.393  0.063  0.330
Tb  0.733  0.063  0.670
Tb  0.818  0.318  0.500
Tb  0.891  0.559  0.332
Pr  0.033  0.033  0.456
Pr  0.033  0.576  0.999
Pr  0.321  0.821  0.500
Pr  0.577  0.033  0.001
Pr  0.577  0.576  0.544
Sm  0.606  0.606  0.000

DFT (GGA-PBE) results for a relaxed TbPr7Sm3 crystal.

Properties
spin magnetization: 0.00 μB/atom
energy of formation: 0.218 eV per atom
crystal system: orthorhombic
VASP energy: -49.8 eV per formula unit
symmetry: Immm, No. 71
E above lowest polymorph: 0.040 eV/atom

Unit cell a=8.675 b=8.675 c=8.675 alpha=139.46 beta=96.99 gamma=96.79
Atoms (fractional coordinates):
Tb  0.000  0.000  0.000
Pr  0.000  0.500  0.500
Pr  0.097  0.804  0.293
Pr  0.290  0.290  0.000
Pr  0.488  0.196  0.293
Pr  0.512  0.804  0.707
Pr  0.710  0.710  0.000
Pr  0.903  0.196  0.707
Sm  0.293  0.500  0.793
Sm  0.500  0.000  0.500
Sm  0.707  0.500  0.207

DFT (GGA-PBE) results for a relaxed Tb2Pr6Sm3 crystal.

Properties
spin magnetization: 0.00 μB/atom
energy of formation: 0.012 eV per atom
crystal system: trigonal
VASP energy: -52.0 eV per formula unit
symmetry: R-3m, No. 166
E above lowest polymorph: 0.000 eV/atom

Unit cell a=32.912 b=32.912 c=32.912 alpha=6.38 beta=6.38 gamma=6.38
Atoms (fractional coordinates):
Tb  0.046  0.046  0.046
Tb  0.954  0.954  0.954
Pr  0.136  0.136  0.136
Pr  0.318  0.318  0.318
Pr  0.409  0.409  0.409
Pr  0.591  0.591  0.591
Pr  0.682  0.682  0.682
Pr  0.864  0.864  0.864
Sm  0.227  0.227  0.227
Sm  0.500  0.500  0.500
Sm  0.773  0.773  0.773

DFT (GGA-PBE) results for a relaxed TbPr8Sm2 crystal.

Properties
spin magnetization: 0.00 μB/atom
energy of formation: 0.155 eV per atom
crystal system: monoclinic
VASP energy: -50.6 eV per formula unit
symmetry: C2/m, No. 12
E above lowest polymorph: 0.141 eV/atom

Unit cell a=9.193 b=9.193 c=6.821 alpha=99.96 beta=99.96 gamma=44.15
Atoms (fractional coordinates):
Tb  0.000  0.000  0.000
Pr  0.176  0.652  0.595
Pr  0.244  0.244  0.320
Pr  0.348  0.824  0.405
Pr  0.407  0.407  0.084
Pr  0.593  0.593  0.916
Pr  0.652  0.176  0.595
Pr  0.756  0.756  0.680
Pr  0.824  0.348  0.405
Sm  0.195  0.195  0.809
Sm  0.805  0.805  0.191

DFT (GGA-PBE) results for a relaxed Tb3Pr5Sm2 crystal.

Properties
spin magnetization: 0.00 μB/atom
energy of formation: 0.175 eV per atom
crystal system: monoclinic
VASP energy: -45.5 eV per formula unit
symmetry: C2/c, No. 15
E above lowest polymorph: 0.000 eV/atom

Unit cell a=9.268 b=9.268 c=10.151 alpha=108.47 beta=108.47 gamma=107.77
Atoms (fractional coordinates):
Tb  0.020  0.980  0.750
Tb  0.220  0.469  0.444
Tb  0.469  0.220  0.944
Tb  0.531  0.780  0.056
Tb  0.780  0.531  0.556
Tb  0.980  0.020  0.250
Pr  0.130  0.374  0.752
Pr  0.228  0.772  0.750
Pr  0.268  0.732  0.250
Pr  0.374  0.130  0.252
Pr  0.477  0.523  0.250
Pr  0.523  0.477  0.750
Pr  0.626  0.870  0.748
Pr  0.732  0.268  0.750
Pr  0.772  0.228  0.250
Pr  0.870  0.626  0.248
Sm  0.031  0.275  0.059
Sm  0.275  0.031  0.559
Sm  0.725  0.969  0.441
Sm  0.969  0.725  0.941

DFT (GGA-PBE) results for a relaxed Tb4Pr3Sm crystal.

Properties
spin magnetization: 0.00 μB/atom
energy of formation: 0.127 eV per atom
crystal system: orthorhombic
VASP energy: -36.6 eV per formula unit
symmetry: Immm, No. 71
E above lowest polymorph: 0.097 eV/atom

Unit cell a=3.496 b=11.786 c=13.228 alpha=90.00 beta=90.00 gamma=90.00
Atoms (fractional coordinates):
Tb  0.000  0.248  0.134
Tb  0.000  0.248  0.866
Tb  0.000  0.752  0.134
Tb  0.000  0.752  0.866
Tb  0.500  0.252  0.366
Tb  0.500  0.252  0.634
Tb  0.500  0.748  0.366
Tb  0.500  0.748  0.634
Pr  0.000  0.000  0.500
Pr  0.000  0.500  0.258
Pr  0.000  0.500  0.742
Pr  0.500  0.000  0.242
Pr  0.500  0.000  0.758
Pr  0.500  0.500  0.000
Sm  0.000  0.000  0.000
Sm  0.500  0.500  0.500

DFT (GGA-PBE) results for a relaxed Tb5Pr2Sm12 crystal.

Properties
spin magnetization: 0.00 μB/atom
energy of formation: 0.123 eV per atom
crystal system: monoclinic
VASP energy: -87.0 eV per formula unit
symmetry: C2/m, No. 12
E above lowest polymorph: 0.000 eV/atom

Unit cell a=9.517 b=9.517 c=7.952 alpha=90.38 beta=90.38 gamma=64.21
Atoms (fractional coordinates):
Tb  0.000  0.000  0.000
Tb  0.247  0.247  0.990
Tb  0.353  0.353  0.418
Tb  0.647  0.647  0.582
Tb  0.753  0.753  0.010
Pr  0.220  0.780  0.500
Pr  0.780  0.220  0.500
Sm  0.039  0.574  0.706
Sm  0.161  0.161  0.623
Sm  0.168  0.620  0.110
Sm  0.380  0.832  0.890
Sm  0.426  0.961  0.294
Sm  0.449  0.449  0.790
Sm  0.551  0.551  0.210
Sm  0.574  0.039  0.706
Sm  0.620  0.168  0.110
Sm  0.832  0.380  0.890
Sm  0.839  0.839  0.377
Sm  0.961  0.426  0.294

DFT (GGA-PBE) results for a relaxed TbPrSm crystal.

Properties
spin magnetization: 0.00 μB/atom
energy of formation: 0.019 eV per atom
crystal system: tetragonal
VASP energy: -14.1 eV per formula unit
symmetry: I4mm, No. 107
E above lowest polymorph: 0.004 eV/atom

Unit cell a=3.639 b=3.639 c=15.416 alpha=90.00 beta=90.00 gamma=90.00
Atoms (fractional coordinates):
Tb  0.000  0.000  0.000
Tb  0.500  0.500  0.500
Pr  0.000  0.000  0.667
Pr  0.500  0.500  0.167
Sm  0.000  0.000  0.337
Sm  0.500  0.500  0.837

DFT (GGA-PBE) results for a relaxed TbPr7Sm2 crystal.

Properties
spin magnetization: 0.00 μB/atom
energy of formation: 0.164 eV per atom
crystal system: monoclinic
VASP energy: -45.9 eV per formula unit
symmetry: P2/m, No. 10
E above lowest polymorph: 0.000 eV/atom

Unit cell a=6.744 b=3.485 c=15.422 alpha=90.00 beta=102.62 gamma=90.00
Atoms (fractional coordinates):
Tb  0.000  0.000  0.000
Pr  0.143  0.500  0.801
Pr  0.310  0.000  0.619
Pr  0.342  0.500  0.199
Pr  0.500  0.500  0.000
Pr  0.658  0.500  0.801
Pr  0.690  0.000  0.381
Pr  0.857  0.500  0.199
Sm  0.206  0.500  0.413
Sm  0.794  0.500  0.587

DFT (GGA-PBE) results for a relaxed Tb3Pr5Sm2 crystal.

Properties
spin magnetization: 0.00 μB/atom
energy of formation: 0.354 eV per atom
crystal system: orthorhombic
VASP energy: -43.7 eV per formula unit
symmetry: Ibam, No. 72
E above lowest polymorph: 0.179 eV/atom

Unit cell a=12.607 b=12.607 c=12.607 alpha=135.67 beta=55.60 gamma=148.18
Atoms (fractional coordinates):
Tb  0.119  0.247  0.365
Tb  0.250  0.250  0.000
Tb  0.381  0.747  0.128
Tb  0.619  0.253  0.872
Tb  0.750  0.750  0.000
Tb  0.881  0.753  0.635
Pr  0.004  0.250  0.754
Pr  0.128  0.597  0.725
Pr  0.250  0.750  0.500
Pr  0.372  0.097  0.470
Pr  0.496  0.250  0.246
Pr  0.504  0.750  0.754
Pr  0.628  0.903  0.530
Pr  0.750  0.250  0.500
Pr  0.872  0.403  0.275
Pr  0.996  0.750  0.246
Sm  0.121  0.906  0.026
Sm  0.379  0.406  0.785
Sm  0.621  0.594  0.215
Sm  0.879  0.094  0.974

DFT (GGA-PBE) results for a relaxed Tb9Pr2Sm crystal.

Properties
spin magnetization: 0.00 μB/atom
energy of formation: 0.019 eV per atom
crystal system: tetragonal
VASP energy: -55.7 eV per formula unit
symmetry: P4/mmm, No. 123
E above lowest polymorph: 0.000 eV/atom

Unit cell a=5.078 b=5.078 c=15.235 alpha=90.00 beta=90.00 gamma=90.00
Atoms (fractional coordinates):
Tb  0.000  0.000  0.000
Tb  0.000  0.000  0.333
Tb  0.000  0.000  0.667
Tb  0.000  0.500  0.165
Tb  0.000  0.500  0.500
Tb  0.000  0.500  0.835
Tb  0.500  0.000  0.165
Tb  0.500  0.000  0.500
Tb  0.500  0.000  0.835
Pr  0.500  0.500  0.333
Pr  0.500  0.500  0.667
Sm  0.500  0.500  0.000

DFT (GGA-PBE) results for a relaxed Tb4Pr3Sm crystal.

Properties
spin magnetization: 0.00 μB/atom
energy of formation: 0.030 eV per atom
crystal system: orthorhombic
VASP energy: -37.3 eV per formula unit
symmetry: Pmn2_1, No. 31
E above lowest polymorph: 0.000 eV/atom

Unit cell a=11.691 b=7.356 c=6.340 alpha=90.00 beta=90.00 gamma=90.00
Atoms (fractional coordinates):
Tb  0.000  0.121  0.000
Tb  0.000  0.878  0.501
Tb  0.249  0.878  0.833
Tb  0.251  0.122  0.333
Tb  0.500  0.122  0.001
Tb  0.500  0.879  0.500
Tb  0.749  0.122  0.333
Tb  0.751  0.878  0.833
Pr  0.000  0.372  0.499
Pr  0.249  0.373  0.835
Pr  0.251  0.627  0.335
Pr  0.500  0.628  0.999
Pr  0.749  0.627  0.335
Pr  0.751  0.373  0.835
Sm  0.000  0.629  0.000
Sm  0.500  0.371  0.500

DFT (GGA-PBE) results for a relaxed TbPr6Sm8 crystal.

Properties
spin magnetization: 0.00 μB/atom
energy of formation: 0.112 eV per atom
crystal system: trigonal
VASP energy: -69.4 eV per formula unit
symmetry: R-3, No. 148

Unit cell a=8.851 b=8.851 c=8.851 alpha=63.30 beta=63.30 gamma=63.30
Atoms (fractional coordinates):
Tb  0.000  0.000  0.000
Pr  0.099  0.539  0.235
Pr  0.235  0.099  0.539
Pr  0.461  0.765  0.901
Pr  0.539  0.235  0.099
Pr  0.765  0.901  0.461
Pr  0.901  0.461  0.765
Sm  0.113  0.717  0.751
Sm  0.249  0.887  0.283
Sm  0.283  0.249  0.887
Sm  0.423  0.423  0.423
Sm  0.577  0.577  0.577
Sm  0.717  0.751  0.113
Sm  0.751  0.113  0.717
Sm  0.887  0.283  0.249

DFT (GGA-PBE) results for a relaxed Tb6PrSm12 crystal.

Properties
spin magnetization: 0.00 μB/atom
energy of formation: 0.141 eV per atom
crystal system: trigonal
VASP energy: -86.5 eV per formula unit
symmetry: R-3, No. 148
E above lowest polymorph: 0.000 eV/atom

Unit cell a=8.646 b=8.646 c=8.646 alpha=88.92 beta=88.92 gamma=88.92
Atoms (fractional coordinates):
Tb  0.196  0.597  0.760
Tb  0.240  0.804  0.403
Tb  0.403  0.240  0.804
Tb  0.597  0.760  0.196
Tb  0.760  0.196  0.597
Tb  0.804  0.403  0.240
Pr  0.500  0.500  0.500
Sm  0.038  0.278  0.934
Sm  0.066  0.962  0.722
Sm  0.140  0.300  0.485
Sm  0.278  0.934  0.038
Sm  0.300  0.485  0.140
Sm  0.485  0.140  0.300
Sm  0.515  0.860  0.700
Sm  0.700  0.515  0.860
Sm  0.722  0.066  0.962
Sm  0.860  0.700  0.515
Sm  0.934  0.038  0.278
Sm  0.962  0.722  0.066

DFT (GGA-PBE) results for a relaxed Tb4Pr2Sm crystal.

Properties
spin magnetization: 0.00 μB/atom
energy of formation: 0.199 eV per atom
crystal system: monoclinic
VASP energy: -31.4 eV per formula unit
symmetry: P2/m, No. 10
E above lowest polymorph: 0.017 eV/atom

Unit cell a=6.928 b=10.457 c=7.061 alpha=90.00 beta=106.73 gamma=90.00
Atoms (fractional coordinates):
Tb  0.229  0.216  0.190
Tb  0.229  0.784  0.190
Tb  0.231  0.280  0.689
Tb  0.231  0.720  0.689
Tb  0.769  0.280  0.311
Tb  0.769  0.720  0.311
Tb  0.771  0.216  0.810
Tb  0.771  0.784  0.810
Pr  0.000  0.500  0.000
Pr  0.500  0.000  0.000
Pr  0.500  0.500  0.000
Pr  0.500  0.500  0.500
Sm  0.000  0.000  0.500
Sm  0.500  0.000  0.500

DFT (GGA-PBE) results for a relaxed Tb8Pr3Sm2 crystal.

Properties
spin magnetization: 0.00 μB/atom
energy of formation: 0.243 eV per atom
crystal system: monoclinic
VASP energy: -57.7 eV per formula unit
symmetry: C2/m, No. 12
E above lowest polymorph: 0.227 eV/atom

Unit cell a=10.917 b=10.917 c=5.691 alpha=90.02 beta=90.02 gamma=41.50
Atoms (fractional coordinates):
Tb  0.101  0.683  0.000
Tb  0.170  0.170  0.500
Tb  0.317  0.899  0.000
Tb  0.365  0.365  0.500
Tb  0.635  0.635  0.500
Tb  0.683  0.101  0.000
Tb  0.830  0.830  0.500
Tb  0.899  0.317  0.000
Pr  0.208  0.792  0.500
Pr  0.500  0.500  0.000
Pr  0.792  0.208  0.500
Sm  0.258  0.258  0.001
Sm  0.742  0.742  0.999

DFT (GGA-PBE) results for a relaxed Tb3Pr2Sm6 crystal.

Properties
spin magnetization: 0.00 μB/atom
energy of formation: 0.269 eV per atom
crystal system: tetragonal
VASP energy: -48.8 eV per formula unit
symmetry: I4/mmm, No. 139
E above lowest polymorph: 0.098 eV/atom

Unit cell a=17.315 b=17.315 c=17.315 alpha=164.06 beta=164.06 gamma=22.61
Atoms (fractional coordinates):
Tb  0.000  0.000  0.000
Tb  0.200  0.200  0.000
Tb  0.800  0.800  0.000
Pr  0.454  0.454  0.000
Pr  0.546  0.546  0.000
Sm  0.122  0.622  0.500
Sm  0.301  0.301  0.000
Sm  0.378  0.878  0.500
Sm  0.622  0.122  0.500
Sm  0.699  0.699  0.000
Sm  0.878  0.378  0.500

DFT (GGA-PBE) results for a relaxed Tb6Pr5Sm crystal.

Properties
spin magnetization: 0.00 μB/atom
energy of formation: 0.011 eV per atom
crystal system: monoclinic
VASP energy: -56.3 eV per formula unit
symmetry: C2/m, No. 12
E above lowest polymorph: 0.000 eV/atom

Unit cell a=6.306 b=6.306 c=11.935 alpha=95.04 beta=95.04 gamma=120.00
Atoms (fractional coordinates):
Tb  0.084  0.417  0.751
Tb  0.250  0.250  0.249
Tb  0.417  0.084  0.751
Tb  0.583  0.916  0.249
Tb  0.750  0.750  0.751
Tb  0.916  0.583  0.249
Pr  0.000  0.000  0.500
Pr  0.167  0.833  0.000
Pr  0.333  0.667  0.500
Pr  0.667  0.333  0.500
Pr  0.833  0.167  0.000
Sm  0.500  0.500  0.000